No. 1
{
  "formula": "BeSi2P",
  "functional": "GGA-PBE",
  "state": "optimized geometry",
  "cell": [[-1.713, 1.713, 4.651], [1.713, -1.713, 4.651], [1.713, 1.713, -4.651]],
  "species": ["Be", "Si", "Si", "P"],
  "frac_coords": [[0.000, 0.000, 0.000], [0.250, 0.750, 0.500], [0.750, 0.250, 0.500], [0.500, 0.500, 0.000]],
  "dos_ef_per_ev_fu": 1.421,
  "polymorph_energy_ev_per_fu": 1.50,
  "density_kg_m3": 2924,
  "e_form_raw_ev_per_atom": 0.51,
  "spacegroup": "I4/mmm (139)",
  "final_energy_ev_per_atom": -4.485
}

---

No. 2
{
  "formula": "Be2SiP",
  "functional": "GGA-PBE",
  "state": "optimized geometry",
  "cell": [[3.440, -1.700, 0.000], [3.440, 1.700, 0.000], [-1.922, 0.000, 4.850]],
  "species": ["Be", "Be", "Si", "P"],
  "frac_coords": [[0.000, 0.000, 0.000], [0.529, 0.529, 0.297], [0.274, 0.274, 0.451], [0.285, 0.285, 0.897]],
  "dos_ef_per_ev_fu": 1.129,
  "polymorph_energy_ev_per_fu": 0.26,
  "density_kg_m3": 2257,
  "e_form_raw_ev_per_atom": 0.09,
  "spacegroup": "Cm (8)",
  "final_energy_ev_per_atom": -4.480
}

---

No. 3
{
  "formula": "BeSiP",
  "functional": "GGA-PBE",
  "state": "optimized geometry",
  "cell": [[3.236, -1.881, 0.000], [3.236, 1.881, 0.000], [-0.023, 0.000, 7.909]],
  "species": ["Be", "Be", "Si", "Si", "P", "P"],
  "frac_coords": [[0.000, 0.000, 0.000], [0.524, 0.524, 0.695], [0.189, 0.189, 0.293], [0.526, 0.526, 0.404], [0.181, 0.181, 0.757], [0.342, 0.342, 0.020]],
  "dos_ef_per_ev_fu": 0.000,
  "polymorph_energy_ev_per_fu": 0.37,
  "density_kg_m3": 2348,
  "e_form_raw_ev_per_atom": -0.03,
  "spacegroup": "Cm (8)",
  "final_energy_ev_per_atom": -4.887
}

---

Q: Which formula does entry 3 have?
A: BeSiP